Record 1
A plane-wave DFT calculation with GGA-PBE was carried out for PdPb2O5 after structural relaxation.

extended XYZ file:
```
16
Lattice="0.508 6.236 -0.726 -1.134 3.441 -5.153 -6.561 -1.381 3.305" Properties=species:S:1:pos:R:3 pbc="T T T"
O -3.525 6.230 -0.814
O -6.068 2.866 2.253
O -2.228 4.026 -2.853
O -4.959 4.270 0.280
O -6.551 1.365 -0.229
O -2.403 3.532 0.458
O -3.662 2.066 -1.759
O -1.119 5.431 -4.826
O -0.636 6.932 -2.344
O -4.784 4.764 -3.031
Pb -5.925 5.382 -1.213
Pb -1.262 2.915 -1.360
Pb -2.638 6.082 -2.850
Pb -4.549 2.214 0.277
Pd 0.000 0.000 0.000
Pd -3.281 -0.691 1.653
```

Properties
VASP energy = -5.29 eV/atom

***

Record 2
A plane-wave DFT calculation with GGA-PBE was carried out for PdPbSO after structural relaxation.

extended XYZ file:
```
8
Lattice="3.694 0.000 0.000 0.000 3.694 0.000 0.000 0.000 12.028" Properties=species:S:1:pos:R:3 pbc="T T T"
S 2.770 2.770 10.774
S 0.923 0.923 1.254
Pb 0.923 0.923 4.689
Pb 2.770 2.770 7.339
Pd 0.923 0.923 10.879
Pd 2.770 2.770 1.149
O 2.770 0.923 6.014
O 0.923 2.770 6.014
```

Properties
VASP energy = -4.92 eV/atom

***

Record 3
A plane-wave DFT calculation with GGA-PBE was carried out for PdPbSO after structural relaxation.

extended XYZ file:
```
16
Lattice="7.034 0.000 0.000 0.000 5.552 0.000 0.000 0.000 7.528" Properties=species:S:1:pos:R:3 pbc="T T T"
S 1.049 5.355 2.172
S 5.985 2.579 1.592
S 2.468 0.197 5.936
S 4.566 2.973 5.356
O 6.471 0.019 4.716
O 4.080 5.533 0.952
O 2.954 2.757 2.813
O 0.563 2.795 6.577
Pd 0.627 1.386 0.529
Pd 4.145 1.390 6.999
Pd 2.890 4.166 4.293
Pd 6.407 4.162 3.235
Pb 4.289 0.872 3.058
Pb 0.772 1.904 4.470
Pb 6.262 4.680 6.822
Pb 2.745 3.648 0.706
```

Properties
VASP energy = -4.97 eV/atom

***

Record 4
A plane-wave DFT calculation with GGA-PBE was carried out for PdPbSO after structural relaxation.

extended XYZ file:
```
8
Lattice="-3.677 -0.442 -0.054 1.940 -0.983 2.998 -1.529 12.101 4.958" Properties=species:S:1:pos:R:3 pbc="T T T"
S -1.341 10.354 6.552
S -2.449 4.483 3.056
Pd -1.514 11.982 4.909
Pd -0.749 5.931 2.430
O -1.012 8.011 3.282
O -0.248 1.960 0.803
Pb -2.933 8.311 4.624
Pb -0.296 2.081 3.162
```

Properties
VASP energy = -4.95 eV/atom